Mn4Rh3: optimized geometry, PBE.

As for the energy relative to the lowest polymorph listed for this composition: 0.904 eV per formula unit.

Cell: 5.098 5.098 4.400 Å, 90.00 90.00 120.00°
Sites, in units of the cell vectors:
Mn (0.000, 0.000, 0.271)
Mn (0.000, 0.000, 0.729)
Mn (0.667, 0.333, 0.500)
Mn (0.333, 0.667, 0.500)
Rh (0.000, 0.500, 0.000)
Rh (0.500, 0.500, 0.000)
Rh (0.500, 0.000, 0.000)

YIn2Pb2: optimized geometry, PBE.

As for the energy relative to the lowest polymorph listed for this composition: 0.000 eV per formula unit.

Cell: 8.264 8.264 4.248 Å, 90.00 90.00 90.00°
Sites, in units of the cell vectors:
Pb (0.171, 0.671, 0.500)
Pb (0.671, 0.829, 0.500)
Pb (0.829, 0.329, 0.500)
Pb (0.329, 0.171, 0.500)
Y (0.000, 0.000, 0.000)
Y (0.500, 0.500, 0.000)
In (0.373, 0.873, 0.000)
In (0.873, 0.627, 0.000)
In (0.627, 0.127, 0.000)
In (0.127, 0.373, 0.000)

NiPIr: optimized geometry, PBE.

Cell: 4.993 4.993 4.993 Å, 146.61 146.61 47.94°
Sites, in units of the cell vectors:
Ni (0.308, 0.308, 0.000)
P (0.674, 0.674, 0.000)
Ir (0.019, 0.019, 0.000)

Number 1: ΔE_f 0.18 eV per atom. Number 2: ΔE_f -0.09 eV per atom. Number 3: ΔE_f -0.12 eV per atom.